Here is a relaxed TaIn2W crystal from Alexandria. Energies are from PBE.

## Properties
- E (eV/atom) = -7.0749
- formation energy (kJ per mole of atoms) = 47.8
- SG = I-4m2, No. 119

a b c (Å): 5.206 5.206 5.206
angles (deg): 132.05 132.05 70.16
Positions (direct):
In 0.000 0.000 0.000
In 0.250 0.750 0.500
Ta 0.500 0.500 0.000
W 0.750 0.250 0.500